1.
Density functional theory data (GGA-PBE) for a relaxed structure of ErTm5Ru4.

Energy of formation from the pure elements in eV/atom: -0.339
Crystal system: monoclinic
Space-group type: C2/m, No. 12

a = 4.791 Å, b = 6.640 Å, c = 7.471 Å
α = 90.13°, β = 108.70°, γ = 90.00°
Fractional coordinates of all 10 atoms:
1 Er 0.500 0.000 0.000
2 Tm 0.167 0.001 0.334
3 Tm 0.167 0.500 0.333
4 Tm 0.833 0.500 0.667
5 Tm 0.500 0.500 0.000
6 Tm 0.833 0.999 0.666
7 Ru 0.665 0.750 0.330
8 Ru 0.999 0.251 0.998
9 Ru 0.335 0.250 0.670
10 Ru 0.001 0.749 0.002

2.
Density functional theory data (GGA-PBE) for a relaxed structure of TiCrSe4.

Formation energy from raw total energies in eV per atom: -0.676
Crystal system: monoclinic
Space-group type: P2_1/c, No. 14

a = 5.473 Å, b = 7.244 Å, c = 7.250 Å
α = 121.30°, β = 90.00°, γ = 90.00°
Fractional coordinates of all 12 atoms:
1 Ti 0.000 0.500 0.500
2 Ti 0.500 0.000 0.500
3 Cr 0.500 0.500 0.000
4 Cr 0.000 0.000 0.000
5 Se 0.217 0.819 0.174
6 Se 0.283 0.319 0.174
7 Se 0.778 0.676 0.318
8 Se 0.278 0.824 0.682
9 Se 0.722 0.176 0.318
10 Se 0.222 0.324 0.682
11 Se 0.717 0.681 0.826
12 Se 0.783 0.181 0.826

3.
Density functional theory data (GGA-PBE) for a relaxed structure of La2Se.

Formation energy from raw total energies in eV per atom: -1.201
Crystal system: tetragonal
Space-group type: I4/mcm, No. 140

a = 6.143 Å, b = 6.143 Å, c = 6.143 Å
α = 108.45°, β = 108.45°, γ = 111.53°
Fractional coordinates of all 6 atoms:
1 La 0.832 0.332 0.164
2 La 0.168 0.668 0.836
3 La 0.332 0.168 0.500
4 La 0.668 0.832 0.500
5 Se 0.250 0.250 0.000
6 Se 0.750 0.750 0.000

4.
Density functional theory data (GGA-PBE) for a relaxed structure of NiMo2Rh.

Energy above the most stable polymorph in this dataset in eV/atom: 0.141
Energy of formation from the pure elements in eV/atom: 0.027
Crystal system: tetragonal
Space-group type: P4mm, No. 99

a = 3.187 Å, b = 3.187 Å, c = 5.650 Å
α = 90.00°, β = 90.00°, γ = 90.00°
Fractional coordinates of all 4 atoms:
1 Mo 0.000 0.000 0.998
2 Mo 0.500 0.500 0.273
3 Ni 0.000 0.000 0.490
4 Rh 0.500 0.500 0.739

5.
Density functional theory data (GGA-PBE) for a relaxed structure of CaSc2Cl.

Energy above the most stable polymorph in this dataset in eV/atom: 0.094
Formation energy from raw total energies in eV per atom: -0.553
Crystal system: orthorhombic
Space-group type: Cmm2, No. 35

a = 3.416 Å, b = 3.416 Å, c = 9.460 Å
α = 90.00°, β = 90.00°, γ = 112.92°
Fractional coordinates of all 4 atoms:
1 Sc 0.000 0.000 0.982
2 Sc 0.500 0.500 0.231
3 Ca 0.000 0.000 0.526
4 Cl 0.500 0.500 0.761

6.
Density functional theory data (GGA-PBE) for a relaxed structure of Pm2Be2Ru2C.

Energy of formation from the pure elements in eV/atom: -0.245
Crystal system: monoclinic
Space-group type: C2/m, No. 12

a = 4.014 Å, b = 5.939 Å, c = 5.783 Å
α = 73.75°, β = 69.69°, γ = 70.25°
Fractional coordinates of all 7 atoms:
1 Pm 0.562 0.181 0.695
2 Pm 0.438 0.819 0.305
3 Be 0.177 0.389 0.257
4 Be 0.823 0.611 0.743
5 Ru 0.202 0.691 0.904
6 Ru 0.798 0.309 0.096
7 C 0.000 0.000 0.000

7.
Density functional theory data (GGA-PBE) for a relaxed structure of AlSiSb.

Energy above the most stable polymorph in this dataset in eV/atom: 0.002
Formation energy from raw total energies in eV per atom: 0.237
Crystal system: monoclinic
Space-group type: P2_1/c, No. 14

a = 3.902 Å, b = 8.215 Å, c = 7.772 Å
α = 82.43°, β = 90.00°, γ = 90.00°
Fractional coordinates of all 12 atoms:
1 Al 0.253 0.607 0.773
2 Al 0.753 0.893 0.227
3 Al 0.747 0.393 0.227
4 Al 0.247 0.107 0.773
5 Si 0.252 0.842 0.988
6 Si 0.752 0.658 0.012
7 Si 0.748 0.158 0.012
8 Si 0.248 0.342 0.988
9 Sb 0.249 0.615 0.392
10 Sb 0.749 0.885 0.608
11 Sb 0.751 0.385 0.608
12 Sb 0.251 0.115 0.392

8.
Density functional theory data (GGA-PBE) for a relaxed structure of Dy2Y2Hg.

Energy of formation from the pure elements in eV/atom: -0.048
Crystal system: tetragonal
Space-group type: I4_1/amd, No. 141

a = 5.064 Å, b = 5.064 Å, c = 12.949 Å
α = 101.28°, β = 101.28°, γ = 90.00°
Fractional coordinates of all 10 atoms:
1 Dy 0.424 0.924 0.847
2 Dy 0.674 0.674 0.347
3 Dy 0.326 0.326 0.653
4 Dy 0.076 0.576 0.153
5 Y 0.822 0.822 0.643
6 Y 0.572 0.072 0.143
7 Y 0.928 0.428 0.857
8 Y 0.178 0.178 0.357
9 Hg 0.500 0.500 0.000
10 Hg 0.250 0.750 0.500